Below is crystalline Cd2BiPt9 at its relaxed geometry, with properties calculated at the PBE-GGA level.

The uncorrected energy comes out at -0.19008 hartree per atom. Its energy of formation is -0.166 eV per atom. The total magnetic moment is 0.0 μB/f.u.

```
Cd2BiPt9
1.0
4.0715 0.0000 0.0000
0.0000 4.0715 0.0000
0.0000 0.0000 12.2976
Cd Bi Pt
2 1 9
Cartesian
0.0000 0.0000 1.9808
0.0000 0.0000 10.3168
0.0000 0.0000 6.1488
0.0000 2.0357 0.0000
0.0000 2.0357 3.9967
0.0000 2.0357 8.3009
2.0357 0.0000 0.0000
2.0357 0.0000 3.9967
2.0357 0.0000 8.3009
2.0357 2.0357 2.0041
2.0357 2.0357 6.1488
2.0357 2.0357 10.2935
```